Compound: Ba2Cu
Source: the Alexandria database
Functional: PBEsol
Structure: optimized geometry

Summary:
* M_tot: 0.000 μB per atom
* calculated volume: 112 Å³/f.u.
* crystal system: tetragonal
* final energy: -2.813 eV per atom
* DOS at the Fermi energy: 0.717 states/eV per atom

Lattice parameters (Å, degrees): 7.7788 7.7788 7.7788 150.78 150.78 41.79
Sites, in units of the cell vectors:
Ba (0.1254, 0.1254, 0.0000)
Ba (0.8746, 0.8746, 0.0000)
Cu (0.5000, 0.5000, 0.0000)